[1]
CaPm2ThS4 GGA-PBE relaxed; E = -6.406 eV per atom; D(E_F) = 0.486 states/eV per atom; energy relative to the elements, uncorrected = -1977 meV per atom; crystal system = monoclinic
1.0
-0.327 3.070 -2.560
-6.136 -2.572 -2.300
-1.181 4.312 5.321
Th S Pm Ca
1 4 2 1
direct
0.500 0.500 0.000
0.500 0.246 0.245
0.500 0.754 0.755
0.000 0.754 0.248
0.000 0.246 0.752
0.500 0.000 0.500
0.000 0.500 0.500
0.000 0.000 0.000

[2]
YZn2Ru2C GGA-PBE relaxed; energy of formation from the pure elements = -0.26 eV per atom; E = -6.395 eV per atom; D(E_F) = 0.470 states/eV per atom; crystal system = tetragonal
1.0
4.102 0.000 0.000
0.000 4.102 0.000
0.000 0.000 5.470
Zn Ru C Y
2 2 1 1
direct
0.500 0.500 0.717
0.500 0.500 0.283
0.500 0.000 0.000
0.000 0.500 0.000
0.000 0.000 0.000
0.000 0.000 0.500

[3]
Th4TeC GGA-PBE relaxed; E = -7.296 eV per atom; D(E_F) = 1.081 states/eV per atom; energy relative to the elements, uncorrected = -289 meV per atom; crystal system = monoclinic
1.0
6.588 -0.520 0.000
-1.676 7.478 0.000
-2.456 -3.479 7.351
Th C Te
8 2 2
direct
0.554 0.256 0.124
0.446 0.744 0.876
0.269 0.992 0.612
0.157 0.380 0.388
0.930 0.132 0.876
0.843 0.620 0.612
0.070 0.868 0.124
0.731 0.008 0.388
0.813 0.063 0.126
0.187 0.937 0.874
0.673 0.423 0.846
0.327 0.577 0.154

[4]
Pr2ZrTiIr2 GGA-PBE relaxed; energy of formation from the pure elements = -0.64 eV per atom; E = -7.925 eV per atom; D(E_F) = 1.107 states/eV per atom; crystal system = orthorhombic
1.0
-5.892 -0.209 2.709
1.501 -5.612 2.832
4.550 6.255 2.610
Zr Ir Pr Ti
2 4 4 2
direct
0.000 0.750 0.000
0.000 0.250 0.000
0.365 0.598 0.196
0.169 0.902 0.804
0.635 0.402 0.804
0.831 0.098 0.196
0.459 0.183 0.366
0.092 0.317 0.634
0.908 0.683 0.366
0.541 0.817 0.634
0.500 0.750 0.000
0.500 0.250 0.000

[5]
Ce3Nd2SmSb6 GGA-PBE relaxed; E = -5.851 eV per atom; D(E_F) = 1.608 states/eV per atom; energy relative to the elements, uncorrected = -1118 meV per atom; crystal system = monoclinic
1.0
7.800 -0.001 0.000
-3.899 6.756 0.000
-1.300 -2.252 7.357
Nd Sb Ce Sm
2 6 3 1
direct
0.334 0.666 0.000
0.666 0.334 0.000
0.084 0.415 0.252
0.753 0.753 0.253
0.916 0.585 0.748
0.415 0.084 0.252
0.585 0.916 0.748
0.247 0.247 0.747
0.833 0.167 0.500
0.500 0.500 0.500
0.167 0.833 0.500
0.000 0.000 0.000

[6]
Ac8La6Pr GGA-PBE relaxed; energy of formation from the pure elements = 0.20 eV per atom; E = -4.280 eV per atom; D(E_F) = 1.398 states/eV per atom; crystal system = trigonal
1.0
7.229 0.000 0.000
0.000 8.814 -5.089
0.000 0.000 10.177
La Pr Ac
6 1 8
direct
0.602 0.668 0.055
0.602 0.945 0.613
0.398 0.332 0.945
0.398 0.613 0.668
0.398 0.055 0.387
0.602 0.387 0.332
0.500 0.000 0.000
0.884 0.338 0.033
0.778 0.333 0.667
0.116 0.662 0.967
0.116 0.305 0.338
0.222 0.667 0.333
0.884 0.695 0.662
0.884 0.967 0.305
0.116 0.033 0.695

[7]
In2Hg4PI5 GGA-PBE relaxed; E = -1.830 eV per atom; energy relative to the elements, uncorrected = -177 meV per atom; crystal system = orthorhombic
1.0
7.328 0.000 0.000
-3.664 7.202 0.000
0.000 0.000 9.415
P I Hg In
1 5 4 2
direct
0.354 0.000 0.000
0.707 0.698 0.241
0.707 0.698 0.759
0.423 0.000 0.500
0.009 0.302 0.241
0.009 0.302 0.759
0.596 0.000 0.813
0.520 0.368 0.000
0.596 0.000 0.187
0.152 0.632 0.000
0.361 0.389 0.500
0.972 0.611 0.500

[8]
CdMo3 GGA-PBE relaxed; energy of formation from the pure elements = 0.43 eV per atom; E = -7.919 eV per atom; D(E_F) = 0.868 states/eV per atom; energy above the most stable polymorph in this dataset = 0.214 eV/atom; crystal system = cubic
1.0
-0.801 -3.782 -1.197
0.155 -1.250 3.846
-3.964 0.716 0.392
Cd Mo
1 3
direct
0.000 0.000 0.000
0.500 0.000 0.500
0.500 0.500 0.000
0.000 0.500 0.500

- Which of these has the highest E?
  In2Hg4PI5